[1]
MgAgRh meta-GGA SCAN PBEsol geometry; density = 8313 kg/m³; total energy = -23.5420 eV/atom; calculated formation energy = -0.171 eV per atom
1.0
3.198 0.000 0.000
0.000 3.198 0.000
-1.599 -1.599 4.591
Mg Ag Rh
1 1 1
direct
0.676 0.676 0.351
0.999 0.999 0.998
0.325 0.325 0.651

***

[2]
HoEr meta-GGA SCAN PBEsol geometry; density = 9449 kg/m³; total energy = -49.6615 eV/atom; calculated formation energy = 0.003 eV per atom
1.0
3.511 0.000 0.000
-1.755 3.040 0.000
0.000 0.000 5.469
Er Ho
1 1
direct
0.667 0.333 0.500
0.000 0.000 0.000

***

[3]
InAgS2 meta-GGA SCAN PBEsol geometry; density = 5611 kg/m³; uncorrected formation energy = -0.452 eV/atom; total energy = -21.4545 eV/atom
1.0
3.818 0.000 0.000
1.909 3.307 0.000
1.909 1.102 6.722
Ag S In
1 2 1
direct
0.851 0.851 0.446
0.733 0.733 0.801
0.256 0.256 0.232
0.001 0.001 0.997

***

[4]
Zr2Be17 meta-GGA SCAN PBEsol geometry; density = 3165 kg/m³; total energy = -7.3589 eV/atom; calculated formation energy = -0.232 eV per atom
1.0
5.646 -0.003 -0.002
0.700 5.602 -0.002
0.700 0.618 5.568
Zr Be
2 17
direct
0.837 0.837 0.837
0.163 0.163 0.163
0.213 0.500 0.787
0.500 0.000 0.500
0.404 0.404 0.404
0.659 0.157 0.157
0.843 0.341 0.843
0.500 0.213 0.787
0.787 0.500 0.213
0.500 0.500 0.000
0.000 0.500 0.500
0.157 0.157 0.659
0.213 0.787 0.500
0.596 0.596 0.596
0.157 0.659 0.157
0.787 0.213 0.500
0.341 0.843 0.843
0.500 0.787 0.213
0.843 0.843 0.341

***

[5]
MgCrRu3 meta-GGA SCAN PBEsol geometry; density = 7526 kg/m³; total energy = -24.6530 eV/atom; calculated formation energy = 0.914 eV per atom
1.0
-2.803 -2.766 -1.906
1.384 -3.213 2.627
-3.060 1.081 2.934
Ru Cr Mg
3 1 1
direct
0.000 0.500 0.000
0.500 0.000 0.000
0.000 0.000 0.500
0.000 0.000 0.000
0.500 0.500 0.500

***

[6]
ScTaHg3 meta-GGA SCAN PBEsol geometry; density = 10375 kg/m³; total energy = -55.6791 eV/atom; calculated formation energy = 1.385 eV per atom
1.0
-3.761 2.030 -2.778
2.189 -1.764 -4.252
-2.655 -4.330 0.430
Hg Ta Sc
3 1 1
direct
0.000 0.500 0.000
0.500 0.000 0.000
0.000 0.000 0.500
0.500 0.500 0.500
0.000 0.000 0.000